No. 1
# K2NpSeO2

Crystalline K2NpSeO2 at its relaxed geometry (PBE-GGA, Alexandria via LeMat-Bulk).

Structure (POSCAR):
```
K2NpSeO2
1.0
4.412 0.000 0.000
0.000 4.412 0.000
0.000 0.000 6.383
K Np Se O
2 1 1 2
Cartesian
0.000 0.000 1.438
0.000 0.000 4.945
2.206 2.206 3.192
2.206 2.206 0.000
0.000 2.206 3.192
2.206 0.000 3.192
```

total moment	3.000	Bohr magnetons per cell
energy relative to the elements, uncorrected	-1916	meV/atom
N(E_F)	8.2	states/eV per cell
raw total energy	-6.6723	eV/atom
calculated volume	20.71	Å³/atom

***

No. 2
# K2YSe

Crystalline K2YSe at its relaxed geometry (PBE-GGA, Alexandria via LeMat-Bulk).

Structure (POSCAR):
```
K2YSe
1.0
4.492 0.000 0.000
0.000 4.492 0.000
0.000 0.000 13.224
K Y Se
4 2 2
Cartesian
0.000 2.246 3.306
0.000 2.246 9.918
2.246 0.000 3.306
2.246 0.000 9.918
0.000 0.000 0.000
2.246 2.246 6.612
0.000 0.000 6.612
2.246 2.246 0.000
```

total moment	0.470	Bohr magnetons per cell
energy relative to the elements, uncorrected	-223	meV/atom
N(E_F)	7.5	states/eV per cell
raw total energy	-3.2584	eV/atom
calculated volume	33.35	Å³/atom